Entry 1:
Compound: ZrAlCo
Source: the Alexandria database
Functional: PBE
Structure: relaxed

Calculated values
- space-group type = No. 216
- density of states at the Fermi level (states/eV per atom) = 1.77
- uncorrected energy (eV for the cell shown) = -80.844

Lattice parameters (Å, degrees): 5.964 5.964 5.964 90.00 90.00 90.00
Positions (direct):
Zr 0.000 0.000 0.000
Zr 0.000 0.500 0.500
Zr 0.500 0.000 0.500
Zr 0.500 0.500 0.000
Al 0.000 0.000 0.500
Al 0.000 0.500 0.000
Al 0.500 0.000 0.000
Al 0.500 0.500 0.500
Co 0.250 0.250 0.250
Co 0.250 0.750 0.750
Co 0.750 0.250 0.750
Co 0.750 0.750 0.250



Entry 2:
Compound: Ca4ErPa3As8
Source: the Alexandria database
Functional: PBE
Structure: relaxed

Calculated values
- space-group type = No. 166
- density of states at the Fermi level (states/eV per atom) = 0.77
- uncorrected energy (eV for the cell shown) = -97.684

Lattice parameters (Å, degrees): 8.356 8.356 8.356 59.91 59.91 59.91
Positions (direct):
Ca 0.000 0.000 0.000
Ca 0.000 0.500 0.500
Ca 0.500 0.000 0.500
Ca 0.500 0.500 0.000
Er 0.500 0.500 0.500
Pa 0.000 0.000 0.500
Pa 0.000 0.500 0.000
Pa 0.500 0.000 0.000
As 0.240 0.746 0.746
As 0.245 0.245 0.245
As 0.254 0.254 0.760
As 0.254 0.760 0.254
As 0.746 0.240 0.746
As 0.746 0.746 0.240
As 0.755 0.755 0.755
As 0.760 0.254 0.254



Entry 3:
Compound: Dy2NpP3
Source: the Alexandria database
Functional: PBE
Structure: relaxed

Calculated values
- space-group type = No. 139
- density of states at the Fermi level (states/eV per atom) = 1.47
- uncorrected energy (eV for the cell shown) = -93.074

Lattice parameters (Å, degrees): 3.989 3.989 16.876 90.00 90.00 90.00
Positions (direct):
Dy 0.000 0.000 0.168
Dy 0.000 0.000 0.832
Dy 0.500 0.500 0.332
Dy 0.500 0.500 0.668
Np 0.000 0.000 0.500
Np 0.500 0.500 0.000
P 0.000 0.000 0.000
P 0.000 0.000 0.335
P 0.000 0.000 0.665
P 0.500 0.500 0.165
P 0.500 0.500 0.500
P 0.500 0.500 0.835



Entry 4:
Compound: DySn2Au
Source: the Alexandria database
Functional: PBE
Structure: relaxed

Calculated values
- space-group type = No. 166
- density of states at the Fermi level (states/eV per atom) = 0.49
- uncorrected energy (eV for the cell shown) = -47.912

Lattice parameters (Å, degrees): 3.497 3.497 31.059 90.00 90.00 120.00
Positions (direct):
Dy 0.000 0.000 0.000
Dy 0.333 0.667 0.667
Dy 0.667 0.333 0.333
Sn 0.000 0.000 0.100
Sn 0.000 0.000 0.900
Sn 0.333 0.667 0.567
Sn 0.333 0.667 0.767
Sn 0.667 0.333 0.233
Sn 0.667 0.333 0.433
Au 0.000 0.000 0.500
Au 0.333 0.667 0.167
Au 0.667 0.333 0.833